(1)
Material: AcPm2Te
Method: DFT, PBE
State: optimized geometry

Cell: 3.980 3.980 8.361 Å, 90.00 90.00 90.00°
Fractional coordinates of all 4 atoms:
1 Ac 0.500 0.500 0.000
2 Pm 0.000 0.000 0.711
3 Pm 0.000 0.000 0.289
4 Te 0.500 0.500 0.500

Summary:
Raw formation energy, meV/atom: -621
ρ, kg/m3: 8083
Distance to the lowest polymorph of the same formula, eV/atom: 0.000
Energy, eV/atom: -4.809
Fermi-level density of states, states/eV per cell: 2.76

***

(2)
Material: AcPr12Er2
Method: DFT, PBE
State: optimized geometry

Cell: 6.930 6.930 25.510 Å, 90.00 90.00 116.81°
Fractional coordinates of all 30 atoms:
1 Pr 0.275 0.225 0.559
2 Pr 0.000 0.000 0.327
3 Pr 0.000 0.000 0.673
4 Ac 0.500 0.000 0.985
5 Pr 0.225 0.275 0.922
6 Pr 0.725 0.775 0.078
7 Pr 0.500 0.500 0.798
8 Er 0.500 0.000 0.271
9 Ac 0.000 0.500 0.015
10 Pr 0.500 0.500 0.202
11 Pr 0.775 0.725 0.441
12 Pr 0.775 0.725 0.922
13 Pr 0.239 0.739 0.142
14 Pr 0.761 0.261 0.142
15 Er 0.000 0.500 0.275
16 Pr 0.275 0.225 0.078
17 Pr 0.225 0.275 0.441
18 Pr 0.500 0.500 0.673
19 Pr 0.000 0.000 0.798
20 Er 0.500 0.000 0.725
21 Pr 0.230 0.730 0.584
22 Pr 0.730 0.230 0.416
23 Pr 0.500 0.500 0.327
24 Pr 0.270 0.770 0.416
25 Pr 0.739 0.239 0.858
26 Pr 0.770 0.270 0.584
27 Pr 0.261 0.761 0.858
28 Er 0.000 0.500 0.729
29 Pr 0.725 0.775 0.559
30 Pr 0.000 0.000 0.202

Summary:
ρ, kg/m3: 6840
Energy, eV/atom: -4.550
ΔH_f (0 K), eV/atom: 0.16
Fermi-level density of states, states/eV per cell: 41.08

***

(3)
Material: TlRuPt2
Method: DFT, PBE
State: optimized geometry

Cell: 9.595 9.595 9.595 Å, 17.44 17.44 17.44°
Fractional coordinates of all 4 atoms:
1 Pt 0.992 0.992 0.992
2 Ru 0.250 0.250 0.250
3 Pt 0.508 0.508 0.508
4 Tl 0.750 0.750 0.750

Summary:
ρ, kg/m3: 16677
Distance to the lowest polymorph of the same formula, eV/atom: 0.078
Energy, eV/atom: -5.631
ΔH_f (0 K), eV/atom: 0.30
Fermi-level density of states, states/eV per cell: 2.30